Record 1
Material: Nd3SmDy4
Method: DFT, PBE-GGA
State: relaxed

Properties
- E_form (eV per atom) = 0.13
- offset from the most stable computed form (meV/atom) = 104

Cell: 3.4749 11.7227 13.1505 Å, 90.00 90.00 90.00°
Closest atoms and distances in Å follow each position.
Space group Immm (No. 71)
One atom of each set of equivalent atoms:
1 Nd 0.0000 0.0000 0.0000 [2 per cell]  6 Nd 3.47-3.81, 8 Dy 3.86
2 Nd 0.0000 0.5000 0.2422 [4 per cell]  6 Dy 3.37-3.67, 2 Nd 3.47, 2 Sm 3.63
3 Sm 0.0000 0.0000 0.5000 [2 per cell]  4 Dy 3.40, 2 Sm 3.47, 4 Nd 3.63
4 Dy 0.0000 0.2477 0.3654 [8 per cell]  3 Nd 3.37-3.67, 1 Sm 3.40, 5 Dy 3.47-3.54

=====

Record 2
Material: Nd5SmDy2
Method: DFT, PBE-GGA
State: relaxed

Properties
- E_form (eV per atom) = 0.01

Cell: 8.1372 8.1498 9.6248 Å, 89.80 65.01 72.39°
Closest atoms and distances in Å follow each position.
Space group P-1 (No. 2)
One atom of each set of equivalent atoms:
1 Nd 0.0617 0.2826 0.4068 [2 per cell]  2 Sm 3.62-3.65, 7 Nd 3.63-3.66, 3 Dy 3.64-3.66
2 Nd 0.1868 0.8432 0.2186 [2 per cell]  8 Nd 3.63-3.67, 3 Dy 3.63-3.64, 1 Sm 3.65
3 Nd 0.3100 0.4082 0.0313 [2 per cell]  4 Dy 3.61-3.66, 2 Sm 3.62-3.63, 6 Nd 3.63-3.66
4 Nd 0.3135 0.9034 0.5310 [2 per cell]  3 Dy 3.61-3.63, 2 Sm 3.62-3.68, 7 Nd 3.64-3.66
5 Nd 0.4350 0.9681 0.8446 [2 per cell]  3 Dy 3.62-3.64, 8 Nd 3.63-3.67, 1 Sm 3.64
6 Sm 0.1891 0.3450 0.7185 [2 per cell]  4 Dy 3.61-3.65, 8 Nd 3.62-3.68
7 Dy 0.0632 0.7810 0.9061 [2 per cell]  8 Nd 3.61-3.64, 2 Dy 3.62-3.65, 2 Sm 3.64-3.65
8 Dy 0.4403 0.4680 0.3429 [2 per cell]  8 Nd 3.61-3.66, 2 Sm 3.61-3.64, 2 Dy 3.62-3.63

=====

Record 3
Material: NdSm5Dy2
Method: DFT, PBE-GGA
State: relaxed

Properties
- E_form (eV per atom) = 0.02
- offset from the most stable computed form (meV/atom) = 0

Cell: 7.2311 14.4619 5.0981 Å, 90.00 90.00 90.00°
Closest atoms and distances in Å follow each position.
Space group Pbam (No. 55)
One atom of each set of equivalent atoms:
1 Nd 0.0000 0.0000 0.0000 [2 per cell]  4 Dy 3.61, 8 Sm 3.62
2 Sm 0.0000 0.5000 0.0000 [2 per cell]  6 Sm 3.61, 4 Dy 3.61, 2 Nd 3.62
3 Sm 0.0007 0.2504 0.0000 [4 per cell]  7 Sm 3.60-3.62, 4 Dy 3.60-3.61, 1 Nd 3.62
4 Sm 0.2492 0.6255 0.5000 [4 per cell]  6 Sm 3.60-3.61, 4 Dy 3.61-3.63, 2 Nd 3.62
5 Dy 0.2502 0.3748 0.5000 [4 per cell]  10 Sm 3.60-3.63, 2 Nd 3.61

=====

Record 4
Material: Nd5Sm3Dy2
Method: DFT, PBE-GGA
State: relaxed

Properties
- E_form (eV per atom) = 0.18
- offset from the most stable computed form (meV/atom) = 0

Cell: 10.8463 14.9227 10.1154 Å, 90.00 122.41 90.00°
Closest atoms and distances in Å follow each position.
Space group C2/c (No. 15)
One atom of each set of equivalent atoms:
1 Nd 0.0000 0.0198 0.2500 [4 per cell]  3 Nd 3.11-3.47, 2 Dy 3.41
2 Nd 0.0000 0.2284 0.2500 [4 per cell]  3 Nd 3.11-3.48, 2 Sm 3.41
3 Nd 0.0000 0.4783 0.7500 [4 per cell]  3 Sm 3.10-3.41
4 Nd 0.2488 0.1262 0.7501 [8 per cell]  3 Sm 3.45-3.78, 3 Nd 3.47-3.51, 2 Dy 3.76-3.77
5 Sm 0.0000 0.2704 0.7500 [4 per cell]  3 Nd 3.10-3.45, 2 Dy 3.39
6 Sm 0.1529 0.3750 0.5565 [8 per cell]  1 Dy 3.30, 5 Nd 3.41-3.55, 1 Sm 3.54
7 Dy 0.1541 0.1261 0.0572 [8 per cell]  3 Sm 3.30-3.52, 4 Nd 3.41-3.55

=====

Record 5
Material: Nd4SmDy
Method: DFT, PBE-GGA
State: relaxed

Properties
- E_form (eV per atom) = 0.26
- offset from the most stable computed form (meV/atom) = 243

Cell: 9.4836 9.4836 9.4836 Å, 90.00 90.00 90.00°
Closest atoms and distances in Å follow each position.
Space group F-43m (No. 216)
One atom of each set of equivalent atoms:
1 Nd 0.1254 0.1254 0.1254 [16 per cell]  6 Nd 3.34-3.36
2 Sm 0.2500 0.2500 0.7500 [4 per cell]  12 Nd 3.93, 4 Dy 4.11
3 Dy 0.0000 0.0000 0.5000 [4 per cell]  12 Nd 3.93, 4 Sm 4.11

=====

Record 6
Material: Nd4SmDy4
Method: DFT, PBE-GGA
State: relaxed

Properties
- E_form (eV per atom) = 0.02

Cell: 11.4141 5.1118 10.8578 Å, 90.00 108.42 90.00°
Closest atoms and distances in Å follow each position.
Space group C2/m (No. 12)
One atom of each set of equivalent atoms:
1 Nd 0.0016 0.0000 0.3343 [4 per cell]  8 Dy 3.60-3.63, 3 Nd 3.61-3.62, 1 Sm 3.62
2 Nd 0.1662 0.5000 0.8880 [4 per cell]  5 Dy 3.61-3.65, 3 Sm 3.61-3.62, 4 Nd 3.62-3.63
3 Sm 0.0000 0.0000 0.0000 [2 per cell]  8 Nd 3.61-3.62, 4 Dy 3.64
4 Dy 0.1664 0.5000 0.5542 [4 per cell]  6 Dy 3.58-3.60, 6 Nd 3.60-3.63
5 Dy 0.1692 0.5000 0.2253 [4 per cell]  3 Dy 3.58-3.60, 7 Nd 3.60-3.65, 2 Sm 3.64

=====

Record 7
Material: Nd2Sm3Dy6
Method: DFT, PBE-GGA
State: relaxed

Properties
- E_form (eV per atom) = 0.26
- offset from the most stable computed form (meV/atom) = 77

Cell: 4.7688 4.7688 33.3626 Å, 90.00 90.00 90.00°
Closest atoms and distances in Å follow each position.
Space group I4/mmm (No. 139)
One atom of each set of equivalent atoms:
1 Nd 0.0000 0.0000 0.0462 [4 per cell]  1 Nd 3.08
2 Sm 0.0000 0.0000 0.2978 [4 per cell]  9 Dy 3.38-3.60
3 Sm 0.0000 0.0000 0.5000 [2 per cell]  8 Nd 3.71
4 Dy 0.0000 0.0000 0.1948 [4 per cell]  5 Sm 3.38-3.44, 4 Dy 3.42
5 Dy 0.0000 0.5000 0.1214 [8 per cell]  6 Dy 3.37-3.42, 2 Nd 3.46, 2 Sm 3.60

=====

Record 8
Material: Nd12Sm2Dy
Method: DFT, PBE-GGA
State: relaxed

Properties
- E_form (eV per atom) = 0.15

Cell: 7.2321 11.6819 25.1308 Å, 90.00 90.00 90.00°
Closest atoms and distances in Å follow each position.
Space group Cmme (No. 67)
One atom of each set of equivalent atoms:
1 Nd 0.0000 0.0017 0.0738 [8 per cell]  2 Dy 3.45-3.47, 9 Nd 3.62-3.71
2 Nd 0.0000 0.0244 0.5600 [8 per cell]  5 Nd 3.07-3.41
3 Nd 0.2297 0.2500 0.4167 [8 per cell]  7 Nd 3.32-3.72
4 Nd 0.2483 0.2500 0.8718 [8 per cell]  8 Nd 3.41-3.71, 2 Dy 3.67-3.72
5 Nd 0.2500 0.0000 0.1985 [8 per cell]  3 Nd 3.19-3.41
6 Nd 0.2500 0.0000 0.3254 [8 per cell]  3 Nd 3.19-3.41
7 Sm 0.0000 0.2500 0.2666 [4 per cell]  2 Sm 3.62, 10 Nd 3.74-3.93
8 Sm 0.0000 0.2500 0.7276 [4 per cell]  2 Sm 3.62, 10 Nd 3.68-4.04
9 Dy 0.0000 0.2500 0.9993 [4 per cell]  8 Nd 3.45-3.72, 2 Dy 3.62

=====

Record 9
Material: Nd2Sm3Dy4
Method: DFT, PBE-GGA
State: relaxed

Properties
- E_form (eV per atom) = 0.09
- offset from the most stable computed form (meV/atom) = 75

Cell: 16.7397 11.6964 6.0985 Å, 90.00 96.81 90.00°
Closest atoms and distances in Å follow each position.
Space group C2/c (No. 15)
One atom of each set of equivalent atoms:
1 Nd 0.1062 0.1162 0.2806 [8 per cell]  4 Sm 3.38-3.56, 3 Dy 3.39-3.57, 1 Nd 3.53
2 Sm 0.0000 0.1483 0.7500 [4 per cell]  2 Dy 3.45, 6 Nd 3.52-3.56, 2 Sm 3.83
3 Sm 0.1643 0.3488 0.5870 [8 per cell]  1 Nd 3.38, 7 Dy 3.41-3.58
4 Dy 0.0614 0.3915 0.0440 [8 per cell]  3 Dy 3.27-3.43, 4 Sm 3.45-3.58, 1 Nd 3.57
5 Dy 0.2323 0.1102 0.8718 [8 per cell]  2 Nd 3.39-3.45, 4 Sm 3.41-3.57, 2 Dy 3.43-3.64

=====

Record 10
Material: NdSm4Dy4
Method: DFT, PBE-GGA
State: relaxed

Properties
- E_form (eV per atom) = 0.02

Cell: 10.7946 10.7946 5.0726 Å, 90.00 90.00 90.00°
Closest atoms and distances in Å follow each position.
Space group I4/mmm (No. 139)
One atom of each set of equivalent atoms:
1 Nd 0.0000 0.0000 0.0000 [2 per cell]  4 Sm 3.59, 8 Dy 3.60
2 Sm 0.0000 0.3324 0.0000 [8 per cell]  6 Dy 3.59, 1 Nd 3.59, 5 Sm 3.60-3.62
3 Dy 0.1670 0.1670 0.5000 [8 per cell]  4 Dy 3.59-3.60, 6 Sm 3.59, 2 Nd 3.60

=====

Record 11
Material: Nd8Sm5Dy
Method: DFT, PBE-GGA
State: relaxed

Properties
- E_form (eV per atom) = 0.24

Cell: 9.7940 9.7940 10.3101 Å, 90.00 90.00 90.00°
Closest atoms and distances in Å follow each position.
Space group I-4 (No. 82)
One atom of each set of equivalent atoms:
1 Nd 0.0693 0.1733 0.1542 [8 per cell]  5 Sm 3.42-3.64, 4 Nd 3.66-3.80
2 Nd 0.0843 0.3182 0.4960 [8 per cell]  4 Sm 3.21-3.58, 1 Dy 3.22
3 Sm 0.0000 0.5000 0.2500 [2 per cell]  8 Nd 3.21-3.42
4 Sm 0.1067 0.2924 0.8250 [8 per cell]  8 Nd 3.41-3.67, 2 Sm 3.58
5 Dy 0.0000 0.0000 0.5000 [2 per cell]  4 Nd 3.22

=====

Record 12
Material: NdSm2Dy2
Method: DFT, PBE-GGA
State: relaxed

Properties
- E_form (eV per atom) = 0.27
- offset from the most stable computed form (meV/atom) = 155

Cell: 9.2926 13.5647 6.0701 Å, 90.00 113.99 90.00°
Closest atoms and distances in Å follow each position.
Space group C2/c (No. 15)
One atom of each set of equivalent atoms:
1 Nd 0.0000 0.0684 0.2500 [4 per cell]  4 Sm 3.39-3.44, 4 Dy 3.53-3.65, 2 Nd 3.56
2 Sm 0.1827 0.4280 0.8902 [8 per cell]  1 Sm 3.12, 2 Dy 3.36-3.45, 2 Nd 3.39-3.44
3 Dy 0.0000 0.2008 0.7500 [4 per cell]  4 Sm 3.36-3.45, 2 Dy 3.51, 3 Nd 3.53-3.65
4 Dy 0.0000 0.3310 0.2500 [4 per cell]  2 Dy 3.51, 6 Sm 3.52-3.79, 1 Nd 3.56

=====

Record 13
Material: Nd2Sm3Dy
Method: DFT, PBE-GGA
State: relaxed

Properties
- E_form (eV per atom) = 0.17
- offset from the most stable computed form (meV/atom) = 121

Cell: 10.3968 11.5771 6.7837 Å, 90.00 90.17 90.00°
Closest atoms and distances in Å follow each position.
Space group C2/c (No. 15)
One atom of each set of equivalent atoms:
1 Nd 0.1668 0.2348 0.2481 [8 per cell]  7 Sm 3.46-3.84, 3 Nd 3.47-3.84, 2 Dy 3.64-3.65
2 Sm 0.0000 0.2641 0.7500 [4 per cell]  6 Nd 3.46-3.84, 2 Dy 3.50, 4 Sm 3.65-3.67
3 Sm 0.1680 0.4984 0.4926 [8 per cell]  5 Sm 3.39-3.67, 1 Dy 3.45, 4 Nd 3.47-3.65
4 Dy 0.0000 0.0000 0.0000 [4 per cell]  2 Dy 3.39, 4 Sm 3.45-3.50, 4 Nd 3.64-3.65

=====

Record 14
Material: Nd2Sm6Dy5
Method: DFT, PBE-GGA
State: relaxed

Properties
- E_form (eV per atom) = 0.10

Cell: 11.7993 20.4524 3.6304 Å, 90.00 90.00 90.00°
Closest atoms and distances in Å follow each position.
Space group Pbam (No. 55)
One atom of each set of equivalent atoms:
1 Nd 0.1680 0.2152 0.0000 [4 per cell]  3 Sm 3.41-3.69, 6 Dy 3.57-3.78, 2 Nd 3.63
2 Sm 0.0594 0.9223 0.0000 [4 per cell]  5 Sm 3.47-3.74, 6 Dy 3.50-3.64, 1 Nd 3.89
3 Sm 0.0794 0.6344 0.0000 [4 per cell]  1 Nd 3.41, 6 Dy 3.43-3.58, 4 Sm 3.54-3.63
4 Sm 0.1775 0.3719 0.5000 [4 per cell]  2 Dy 3.34-3.35, 4 Sm 3.54-3.63, 2 Nd 3.69
5 Dy 0.0000 0.5000 0.5000 [2 per cell]  6 Sm 3.35-3.43, 4 Dy 3.63-3.72
6 Dy 0.0922 0.7774 0.5000 [4 per cell]  5 Sm 3.34-3.50, 4 Nd 3.57-3.59, 2 Dy 3.63
7 Dy 0.1993 0.0541 0.5000 [4 per cell]  7 Sm 3.58-4.00, 3 Dy 3.63-3.72, 2 Nd 3.78

=====

Record 15
Material: Nd3Sm12Dy
Method: DFT, PBE-GGA
State: relaxed

Properties
- E_form (eV per atom) = 0.01

Cell: 5.1350 5.1350 20.5385 Å, 90.00 90.00 90.00°
Closest atoms and distances in Å follow each position.
Space group P4/mmm (No. 123)
One atom of each set of equivalent atoms:
1 Nd 0.0000 0.0000 0.0000 [1 per cell]  12 Sm 3.63-3.64
2 Nd 0.0000 0.0000 0.2510 [2 per cell]  12 Sm 3.63-3.64
3 Sm 0.0000 0.5000 0.1255 [4 per cell]  8 Sm 3.63-3.64, 4 Nd 3.64
4 Sm 0.0000 0.5000 0.3766 [4 per cell]  2 Dy 3.61, 8 Sm 3.61-3.63, 2 Nd 3.64
5 Sm 0.5000 0.5000 0.0000 [1 per cell]  4 Nd 3.63, 8 Sm 3.64
6 Sm 0.5000 0.5000 0.2514 [2 per cell]  4 Nd 3.63, 8 Sm 3.63-3.64
7 Sm 0.5000 0.5000 0.5000 [1 per cell]  8 Sm 3.61, 4 Dy 3.63
8 Dy 0.0000 0.0000 0.5000 [1 per cell]  12 Sm 3.61-3.63

=====

Record 16
Material: Nd4SmDy2
Method: DFT, PBE-GGA
State: relaxed

Properties
- E_form (eV per atom) = 0.06
- offset from the most stable computed form (meV/atom) = 0

Cell: 6.5016 24.4022 6.8542 Å, 90.00 118.28 90.00°
Closest atoms and distances in Å follow each position.
Space group Cc (No. 9)
One atom of each set of equivalent atoms:
1 Nd 0.0000 0.0186 0.0000 [4 per cell]  6 Nd 3.47-3.86, 2 Sm 3.60-3.70, 3 Dy 3.60-3.86
2 Nd 0.0866 0.3041 0.2287 [4 per cell]  4 Dy 3.47-3.67, 5 Nd 3.47-3.87, 2 Sm 3.69-3.78
3 Nd 0.1301 0.2685 0.7597 [4 per cell]  6 Nd 3.47-3.87, 2 Sm 3.60-3.70, 3 Dy 3.60-3.86
4 Nd 0.4879 0.0540 0.5303 [4 per cell]  4 Dy 3.47-3.67, 5 Nd 3.47-3.86, 2 Sm 3.68-3.78
5 Sm 0.0285 0.1249 0.6288 [4 per cell]  4 Dy 3.48-3.64, 8 Nd 3.60-3.78
6 Dy 0.0619 0.4091 0.5788 [4 per cell]  7 Nd 3.47-3.86, 2 Sm 3.48-3.64, 2 Dy 3.70-3.71
7 Dy 0.1127 0.1593 0.1792 [4 per cell]  7 Nd 3.47-3.86, 2 Sm 3.48-3.64, 2 Dy 3.70-3.71

=====

Record 17
Material: Nd4SmDy15
Method: DFT, PBE-GGA
State: relaxed

Properties
- E_form (eV per atom) = 0.02

Cell: 5.0601 5.0601 25.1945 Å, 90.00 90.00 90.00°
Closest atoms and distances in Å follow each position.
Space group P4/mmm (No. 123)
One atom of each set of equivalent atoms:
1 Nd 0.0000 0.0000 0.1001 [2 per cell]  12 Dy 3.57-3.58
2 Nd 0.0000 0.0000 0.3002 [2 per cell]  12 Dy 3.57-3.58
3 Sm 0.0000 0.0000 0.5000 [1 per cell]  12 Dy 3.56-3.58
4 Dy 0.0000 0.5000 0.0000 [2 per cell]  8 Dy 3.57-3.58, 4 Nd 3.57
5 Dy 0.0000 0.5000 0.2002 [4 per cell]  4 Nd 3.57, 8 Dy 3.57-3.58
6 Dy 0.0000 0.5000 0.4005 [4 per cell]  8 Dy 3.56-3.58, 2 Sm 3.56, 2 Nd 3.58
7 Dy 0.5000 0.5000 0.1000 [2 per cell]  8 Dy 3.57, 4 Nd 3.58
8 Dy 0.5000 0.5000 0.3004 [2 per cell]  8 Dy 3.57, 4 Nd 3.58
9 Dy 0.5000 0.5000 0.5000 [1 per cell]  8 Dy 3.56, 4 Sm 3.58

=====

Record 18
Material: Nd2SmDy5
Method: DFT, PBE-GGA
State: relaxed

Properties
- E_form (eV per atom) = 0.02
- offset from the most stable computed form (meV/atom) = 0

Cell: 7.1740 14.3505 5.0705 Å, 90.00 90.00 90.00°
Closest atoms and distances in Å follow each position.
Space group Pbam (No. 55)
One atom of each set of equivalent atoms:
1 Nd 0.2491 0.1254 0.0000 [4 per cell]  10 Dy 3.58-3.60, 2 Sm 3.59
2 Sm 0.0000 0.5000 0.5000 [2 per cell]  8 Dy 3.59-3.60, 4 Nd 3.59
3 Dy 0.0000 0.0000 0.5000 [2 per cell]  6 Dy 3.58-3.59, 4 Nd 3.59, 2 Sm 3.59
4 Dy 0.0006 0.7505 0.5000 [4 per cell]  4 Nd 3.58-3.59, 7 Dy 3.58-3.59, 1 Sm 3.60
5 Dy 0.2495 0.3746 0.0000 [4 per cell]  4 Nd 3.58-3.60, 6 Dy 3.58-3.59, 2 Sm 3.59

=====

Size of the total moment: 0.00, 0.00, 0.00, 0.00, 0.00, 0.00, 0.00, 0.00, 0.00, 0.00, 0.00, 0.00, 0.00, 0.00, 0.00, 0.00, 0.00, 0.00 (Bohr magnetons per cell)
Energy: -0.3343, -0.3459, -0.3440, -0.3340, -0.3287, -0.3434, -0.3236, -0.3380, -0.3370, -0.3422, -0.3306, -0.3243, -0.3338, -0.3368, -0.3459, -0.3420, -0.3398, -0.3411 (Ry per atom)